(1)
SrCo2W SCAN single point on PBEsol structure; raw total energy = -30.806 eV/atom; N(E_F) = 2.529 states/eV/f.u.; SG = No. 123; formation enthalpy at 0 K = 0.837 eV/atom; distance to the lowest polymorph of the same formula = 0.000 eV/atom; total magnetic moment = 2.2 μB per formula unit
1.0
4.711 0.000 0.000
0.000 4.711 0.000
0.000 0.000 2.751
Sr Co W
1 2 1
Cartesian
0.000 0.000 0.000
0.000 2.356 1.375
2.356 0.000 1.375
2.356 2.356 0.000

(2)
SrCo2W SCAN single point on PBEsol structure; raw total energy = -30.671 eV/atom; N(E_F) = 4.006 states/eV/f.u.; SG = No. 44; formation enthalpy at 0 K = 0.972 eV/atom; distance to the lowest polymorph of the same formula = 0.135 eV/atom; total magnetic moment = 2.5 μB per formula unit
1.0
-1.341 2.315 5.018
1.341 -2.315 5.018
1.341 2.315 -5.018
Sr Co W
1 2 1
Cartesian
0.000 0.000 0.000
1.341 0.000 2.815
0.000 0.000 4.876
0.000 2.315 2.075

(3)
SrYCo SCAN single point on PBEsol structure; raw total energy = -21.163 eV/atom; N(E_F) = 2.858 states/eV/f.u.; SG = No. 216; formation enthalpy at 0 K = 1.311 eV/atom; total magnetic moment = 0.6 μB per formula unit
1.0
0.000 3.336 3.336
3.336 0.000 3.336
3.336 3.336 0.000
Sr Y Co
1 1 1
Cartesian
0.000 0.000 0.000
1.668 1.668 1.668
5.004 5.004 5.004

(4)
SrY4Co SCAN single point on PBEsol structure; raw total energy = -24.411 eV/atom; N(E_F) = 7.023 states/eV/f.u.; SG = No. 216; formation enthalpy at 0 K = 0.747 eV/atom; total magnetic moment = 3.2 μB per formula unit
1.0
0.000 4.525 4.525
4.525 0.000 4.525
4.525 4.525 0.000
Sr Y Co
1 4 1
Cartesian
0.000 0.000 0.000
3.409 3.409 3.409
5.640 5.640 3.409
5.640 3.409 5.640
3.409 5.640 5.640
6.787 6.787 6.787

(5)
Sr2ZnCo SCAN single point on PBEsol structure; raw total energy = -18.651 eV/atom; N(E_F) = 3.752 states/eV/f.u.; SG = No. 65; formation enthalpy at 0 K = 0.192 eV/atom; total magnetic moment = 1.1 μB per formula unit
1.0
3.670 -3.674 0.000
3.670 3.674 0.000
0.000 0.000 3.721
Sr Zn Co
2 1 1
Cartesian
1.835 1.837 0.000
1.835 -1.837 0.000
0.000 0.000 1.860
3.670 0.000 1.860

(6)
Sr2ZnCo SCAN single point on PBEsol structure; raw total energy = -18.658 eV/atom; N(E_F) = 2.338 states/eV/f.u.; SG = No. 99; formation enthalpy at 0 K = 0.185 eV/atom; total magnetic moment = 1.5 μB per formula unit
1.0
3.472 0.000 0.000
0.000 3.472 0.000
0.000 0.000 8.520
Sr Zn Co
2 1 1
Cartesian
0.000 0.000 0.000
1.736 1.736 3.536
0.000 0.000 5.647
1.736 1.736 6.361

(7)
SrZnCo SCAN single point on PBEsol structure; raw total energy = -17.515 eV/atom; N(E_F) = 1.680 states/eV/f.u.; SG = No. 107; formation enthalpy at 0 K = 0.183 eV/atom; total magnetic moment = 1.4 μB per formula unit
1.0
-1.673 1.673 5.218
1.673 -1.673 5.218
1.673 1.673 -5.218
Sr Zn Co
1 1 1
Cartesian
0.000 0.000 0.000
0.000 0.000 2.908
0.000 0.000 7.450

(8)
SrZr3Co SCAN single point on PBEsol structure; raw total energy = -24.136 eV/atom; N(E_F) = 6.792 states/eV/f.u.; SG = No. 221; formation enthalpy at 0 K = 2.199 eV/atom; total magnetic moment = 1.0 μB per formula unit
1.0
4.934 0.000 0.000
0.000 4.934 0.000
0.000 0.000 4.934
Sr Zr Co
1 3 1
Cartesian
0.000 0.000 0.000
0.000 0.000 2.467
0.000 2.467 0.000
2.467 0.000 0.000
2.467 2.467 2.467

Q: What is the total magnetic moment in the fourth record?
A: 3.2 μB per formula unit